Entry 1:
VASP calculation (PBE) on a relaxed structure of TaMnIrW.

Summary:
DFT total energy = -173.3 eV for the cell shown

The structure in POSCAR format:
```
TaMnIrW
1.0
6.274 0.000 0.000
0.000 6.274 0.000
0.000 0.000 6.274
Ta Mn Ir W
4 4 4 4
Direct
0.000 0.000 0.000
0.000 0.500 0.500
0.500 0.000 0.500
0.500 0.500 0.000
0.000 0.000 0.500
0.000 0.500 0.000
0.500 0.000 0.000
0.500 0.500 0.500
0.250 0.250 0.750
0.250 0.750 0.250
0.750 0.250 0.250
0.750 0.750 0.750
0.250 0.250 0.250
0.250 0.750 0.750
0.750 0.250 0.750
0.750 0.750 0.250
```

=====

Entry 2:
VASP calculation (PBE) on a relaxed structure of Zr2TaMnIr.

Summary:
DFT total energy = -43.0 eV for the cell shown

The structure in POSCAR format:
```
Zr2TaMnIr
1.0
4.994 0.000 0.000
0.000 4.994 0.000
0.000 0.000 4.689
Zr Ta Mn Ir
2 1 1 1
Direct
0.000 0.500 0.000
0.500 0.000 0.000
0.000 0.000 0.500
0.500 0.500 0.500
0.500 0.500 0.000
```

=====

Entry 3:
VASP calculation (PBE) on a relaxed structure of Tb2MnIr3.

Summary:
DFT total energy = -98.4 eV for the cell shown

The structure in POSCAR format:
```
Tb2MnIr3
1.0
5.474 0.000 0.000
-2.737 4.740 0.000
0.000 0.000 8.289
Tb Mn Ir
4 2 6
Direct
0.333 0.667 0.065
0.333 0.667 0.435
0.667 0.333 0.565
0.667 0.333 0.935
0.000 0.000 0.000
0.000 0.000 0.500
0.169 0.337 0.750
0.169 0.831 0.750
0.337 0.169 0.250
0.663 0.831 0.750
0.831 0.169 0.250
0.831 0.663 0.250
```

=====

Entry 4:
VASP calculation (PBE) on a relaxed structure of Tb2MnIr3.

Summary:
DFT total energy = -91.6 eV for the cell shown

The structure in POSCAR format:
```
Tb2MnIr3
1.0
4.561 0.000 0.000
0.000 5.446 0.000
0.000 0.000 9.669
Tb Mn Ir
4 2 6
Direct
0.000 0.000 0.181
0.000 0.000 0.819
0.500 0.500 0.319
0.500 0.500 0.681
0.000 0.000 0.500
0.500 0.500 0.000
0.000 0.500 0.135
0.000 0.500 0.500
0.000 0.500 0.865
0.500 0.000 0.000
0.500 0.000 0.365
0.500 0.000 0.635
```

=====

Entry 5:
VASP calculation (PBE) on a relaxed structure of TbMnIr.

Summary:
DFT total energy = -96.8 eV for the cell shown

The structure in POSCAR format:
```
TbMnIr
1.0
5.222 0.000 0.000
0.000 5.542 0.000
0.000 0.000 7.329
Tb Mn Ir
4 4 4
Direct
0.000 0.250 0.126
0.000 0.750 0.874
0.500 0.250 0.374
0.500 0.750 0.626
0.250 0.250 0.750
0.250 0.750 0.250
0.750 0.250 0.750
0.750 0.750 0.250
0.000 0.000 0.500
0.000 0.500 0.500
0.500 0.000 0.000
0.500 0.500 0.000
```

=====

Entry 6:
VASP calculation (PBE) on a relaxed structure of TbMnIr.

Summary:
DFT total energy = -90.4 eV for the cell shown

The structure in POSCAR format:
```
TbMnIr
1.0
6.799 0.000 0.000
0.000 6.799 0.000
0.000 0.000 5.766
Tb Mn Ir
4 4 4
Direct
0.244 0.244 0.000
0.256 0.744 0.250
0.744 0.256 0.750
0.756 0.756 0.500
0.126 0.126 0.500
0.374 0.626 0.750
0.626 0.374 0.250
0.874 0.874 0.000
0.135 0.865 0.750
0.365 0.365 0.500
0.635 0.635 0.000
0.865 0.135 0.250
```

=====

Entry 7:
VASP calculation (PBE) on a relaxed structure of TbTmMnIr.

Summary:
DFT total energy = -113.7 eV for the cell shown

The structure in POSCAR format:
```
TbTmMnIr
1.0
6.912 0.000 0.000
0.000 6.912 0.000
0.000 0.000 6.912
Tb Tm Mn Ir
4 4 4 4
Direct
0.000 0.000 0.000
0.000 0.500 0.500
0.500 0.000 0.500
0.500 0.500 0.000
0.000 0.000 0.500
0.000 0.500 0.000
0.500 0.000 0.000
0.500 0.500 0.500
0.250 0.250 0.250
0.250 0.750 0.750
0.750 0.250 0.750
0.750 0.750 0.250
0.250 0.250 0.750
0.250 0.750 0.250
0.750 0.250 0.250
0.750 0.750 0.750
```

=====

Entry 8:
VASP calculation (PBE) on a relaxed structure of TbYMnIr.

Summary:
DFT total energy = -120.9 eV for the cell shown

The structure in POSCAR format:
```
TbYMnIr
1.0
6.974 0.000 0.000
0.000 6.974 0.000
0.000 0.000 6.974
Tb Y Mn Ir
4 4 4 4
Direct
0.000 0.000 0.000
0.000 0.500 0.500
0.500 0.000 0.500
0.500 0.500 0.000
0.000 0.000 0.500
0.000 0.500 0.000
0.500 0.000 0.000
0.500 0.500 0.500
0.250 0.250 0.250
0.250 0.750 0.750
0.750 0.250 0.750
0.750 0.750 0.250
0.250 0.250 0.750
0.250 0.750 0.250
0.750 0.250 0.250
0.750 0.750 0.750
```

=====

Entry 9:
VASP calculation (PBE) on a relaxed structure of MnTcIr4.

Summary:
DFT total energy = -52.6 eV for the cell shown

The structure in POSCAR format:
```
MnTcIr4
1.0
0.000 3.627 3.627
3.627 0.000 3.627
3.627 3.627 0.000
Mn Tc Ir
1 1 4
Direct
0.000 0.000 0.000
0.750 0.750 0.750
0.375 0.375 0.375
0.375 0.375 0.875
0.375 0.875 0.375
0.875 0.375 0.375
```

=====

Entry 10:
VASP calculation (PBE) on a relaxed structure of MnTc2Ir.

Summary:
DFT total energy = -76.7 eV for the cell shown

The structure in POSCAR format:
```
MnTc2Ir
1.0
2.857 0.000 0.000
0.000 4.406 0.000
0.000 0.000 9.006
Mn Tc Ir
2 4 2
Direct
0.000 0.000 0.000
0.500 0.500 0.500
0.000 0.000 0.494
0.000 0.500 0.722
0.500 0.000 0.222
0.500 0.500 0.994
0.000 0.500 0.270
0.500 0.000 0.770
```

=====

Entry 11:
VASP calculation (PBE) on a relaxed structure of MnTc2Ir.

Summary:
DFT total energy = -78.1 eV for the cell shown

The structure in POSCAR format:
```
MnTc2Ir
1.0
3.832 0.000 0.000
0.000 3.832 0.000
0.000 0.000 7.570
Mn Tc Ir
2 4 2
Direct
0.000 0.000 0.000
0.500 0.500 0.500
0.000 0.000 0.500
0.000 0.500 0.750
0.500 0.000 0.250
0.500 0.500 0.000
0.000 0.500 0.250
0.500 0.000 0.750
```

=====

Entry 12:
VASP calculation (PBE) on a relaxed structure of Mn3TcIr12.

Summary:
DFT total energy = -146.9 eV for the cell shown

The structure in POSCAR format:
```
Mn3TcIr12
1.0
3.836 0.000 0.000
0.000 3.836 0.000
0.000 0.000 15.393
Mn Tc Ir
3 1 12
Direct
0.000 0.000 0.000
0.000 0.000 0.245
0.000 0.000 0.755
0.000 0.000 0.500
0.000 0.500 0.124
0.000 0.500 0.375
0.000 0.500 0.625
0.000 0.500 0.876
0.500 0.000 0.124
0.500 0.000 0.375
0.500 0.000 0.625
0.500 0.000 0.876
0.500 0.500 0.000
0.500 0.500 0.249
0.500 0.500 0.500
0.500 0.500 0.751
```

=====

Entry 13:
VASP calculation (PBE) on a relaxed structure of Mn2TcIr.

Summary:
DFT total energy = -37.7 eV for the cell shown

The structure in POSCAR format:
```
Mn2TcIr
1.0
2.653 0.000 0.000
0.000 3.676 0.000
0.000 0.000 5.343
Mn Tc Ir
2 1 1
Direct
0.000 0.000 0.248
0.000 0.000 0.752
0.500 0.500 0.500
0.500 0.500 0.000
```

=====

Entry 14:
VASP calculation (PBE) on a relaxed structure of MnTc2Ir.

Summary:
DFT total energy = -38.9 eV for the cell shown

The structure in POSCAR format:
```
MnTc2Ir
1.0
2.699 0.000 0.000
0.000 3.817 0.000
0.000 0.000 5.419
Mn Tc Ir
1 2 1
Direct
0.000 0.000 0.000
0.000 0.000 0.500
0.500 0.500 0.242
0.500 0.500 0.756
```

=====

Entry 15:
VASP calculation (PBE) on a relaxed structure of MnTc2Ir.

Summary:
DFT total energy = -77.9 eV for the cell shown

The structure in POSCAR format:
```
MnTc2Ir
1.0
8.920 0.000 0.000
0.000 2.695 0.000
-0.784 0.000 4.652
Mn Tc Ir
2 4 2
Direct
0.000 0.000 0.000
0.500 0.500 0.000
0.253 0.000 0.754
0.498 0.000 0.498
0.753 0.500 0.754
0.998 0.500 0.498
0.251 0.500 0.249
0.751 0.000 0.249
```

=====

Entry 16:
VASP calculation (PBE) on a relaxed structure of Mn2TcIr.

Summary:
DFT total energy = -75.0 eV for the cell shown

The structure in POSCAR format:
```
Mn2TcIr
1.0
8.620 0.000 0.000
0.000 2.652 0.000
-0.809 0.000 4.575
Mn Tc Ir
4 2 2
Direct
0.248 0.000 0.250
0.252 0.500 0.750
0.748 0.500 0.250
0.752 0.000 0.750
0.000 0.000 0.500
0.500 0.500 0.500
0.000 0.500 0.000
0.500 0.000 0.000
```

=====

Entry 17:
VASP calculation (PBE) on a relaxed structure of Mn2TcIr.

Summary:
DFT total energy = -75.1 eV for the cell shown

The structure in POSCAR format:
```
Mn2TcIr
1.0
3.054 0.000 0.000
0.000 4.165 0.000
0.000 0.000 8.564
Mn Tc Ir
4 2 2
Direct
0.000 0.000 0.000
0.000 0.500 0.257
0.500 0.000 0.757
0.500 0.500 0.500
0.000 0.000 0.513
0.500 0.500 0.013
0.000 0.500 0.750
0.500 0.000 0.250
```

=====

Entry 18:
VASP calculation (PBE) on a relaxed structure of MnTc2Ir.

Summary:
DFT total energy = -38.0 eV for the cell shown

The structure in POSCAR format:
```
MnTc2Ir
1.0
4.558 0.000 0.000
0.000 4.558 0.000
0.000 0.000 2.778
Mn Tc Ir
1 2 1
Direct
0.000 0.000 0.000
0.000 0.500 0.500
0.500 0.000 0.500
0.500 0.500 0.000
```

=====

Entry 19:
VASP calculation (PBE) on a relaxed structure of MnTc2Ir.

Summary:
DFT total energy = -78.1 eV for the cell shown

The structure in POSCAR format:
```
MnTc2Ir
1.0
3.774 0.000 0.000
0.000 3.774 0.000
0.000 0.000 7.787
Mn Tc Ir
2 4 2
Direct
0.000 0.000 0.000
0.500 0.500 0.500
0.000 0.500 0.250
0.000 0.500 0.750
0.500 0.000 0.250
0.500 0.000 0.750
0.000 0.000 0.500
0.500 0.500 0.000
```

=====

Entry 20:
VASP calculation (PBE) on a relaxed structure of Mn2TcIr.

Summary:
DFT total energy = -75.8 eV for the cell shown

The structure in POSCAR format:
```
Mn2TcIr
1.0
3.997 0.000 0.000
0.000 2.660 0.000
0.000 0.000 9.564
Mn Tc Ir
4 2 2
Direct
0.000 0.000 0.000
0.000 0.500 0.500
0.500 0.000 0.114
0.500 0.500 0.614
0.000 0.000 0.730
0.000 0.500 0.230
0.500 0.000 0.384
0.500 0.500 0.884
```